(1)
This record from Alexandria describes a geometry-optimized VPd3Br structure. The functional is PBE-GGA.

Calculated values
The formation energy (no corrections) is 3.58 eV/f.u.

Cell lengths 4.722, 4.722, 4.722 Å; angles 90.00, 90.00, 90.00 degrees
Sites, in units of the cell vectors:
V 0.000 0.000 0.000
Pd 0.000 0.000 0.500
Pd 0.000 0.500 0.000
Pd 0.500 0.000 0.000
Br 0.500 0.500 0.500

=====

(2)
This record from Alexandria describes a geometry-optimized Sm9Ho4Mg11 structure. The functional is PBE-GGA.

Calculated values
The calculation puts the formation energy at -0.036 eV/atom.

Cell lengths 14.066, 14.066, 3.669 Å; angles 90.00, 90.00, 108.94 degrees
Sites, in units of the cell vectors:
Sm 0.000 0.000 0.000
Sm 0.123 0.651 0.000
Sm 0.292 0.471 0.000
Sm 0.349 0.877 0.000
Sm 0.471 0.292 0.000
Sm 0.529 0.708 0.000
Sm 0.651 0.123 0.000
Sm 0.708 0.529 0.000
Sm 0.877 0.349 0.000
Ho 0.073 0.248 0.000
Ho 0.248 0.073 0.000
Ho 0.752 0.927 0.000
Ho 0.927 0.752 0.000
Mg 0.088 0.444 0.500
Mg 0.134 0.866 0.500
Mg 0.269 0.269 0.500
Mg 0.326 0.674 0.500
Mg 0.444 0.088 0.500
Mg 0.500 0.500 0.500
Mg 0.556 0.912 0.500
Mg 0.674 0.326 0.500
Mg 0.731 0.731 0.500
Mg 0.866 0.134 0.500
Mg 0.912 0.556 0.500

=====

(3)
This record from Alexandria describes a geometry-optimized CdSn6Hg3 structure. The functional is PBE-GGA.

Calculated values
The calculation puts the formation energy at 0.116 eV/atom.

Cell lengths 8.545, 8.545, 8.545 Å; angles 95.01, 95.01, 95.01 degrees
Sites, in units of the cell vectors:
Cd 0.250 0.250 0.250
Cd 0.750 0.750 0.750
Sn 0.104 0.853 0.793
Sn 0.147 0.207 0.896
Sn 0.207 0.896 0.147
Sn 0.293 0.353 0.604
Sn 0.353 0.604 0.293
Sn 0.396 0.707 0.647
Sn 0.604 0.293 0.353
Sn 0.647 0.396 0.707
Sn 0.707 0.647 0.396
Sn 0.793 0.104 0.853
Sn 0.853 0.793 0.104
Sn 0.896 0.147 0.207
Hg 0.007 0.493 0.750
Hg 0.250 0.993 0.507
Hg 0.493 0.750 0.007
Hg 0.507 0.250 0.993
Hg 0.750 0.007 0.493
Hg 0.993 0.507 0.250

=====

(4)
This record from Alexandria describes a geometry-optimized LiYMg2Au4 structure. The functional is PBE-GGA.

Calculated values
The calculation puts the formation energy at -0.664 eV/atom.

Cell lengths 8.585, 8.585, 8.585 Å; angles 31.54, 31.54, 31.54 degrees
Sites, in units of the cell vectors:
Li 0.000 0.000 0.000
Y 0.500 0.500 0.500
Mg 0.258 0.258 0.258
Mg 0.742 0.742 0.742
Au 0.109 0.109 0.109
Au 0.374 0.374 0.374
Au 0.626 0.626 0.626
Au 0.891 0.891 0.891

=====

(5)
This record from Alexandria describes a geometry-optimized BeNb2Te structure. The functional is PBE-GGA.

Calculated values
Its energy above the lowest structure with this stoichiometry is 0 meV per atom. The formation energy (no corrections) is 1.09 eV/f.u.

Cell lengths 4.595, 4.595, 4.595 Å; angles 60.00, 60.00, 60.00 degrees
Sites, in units of the cell vectors:
Be 0.000 0.000 0.000
Nb 0.250 0.250 0.250
Nb 0.750 0.750 0.750
Te 0.500 0.500 0.500

=====

(6)
This record from Alexandria describes a geometry-optimized In2HIr structure. The functional is PBE-GGA.

Calculated values
Its energy above the lowest structure with this stoichiometry is 605 meV per atom.

Cell lengths 7.022, 7.022, 7.022 Å; angles 136.63, 136.63, 63.01 degrees
Sites, in units of the cell vectors:
In 0.047 0.625 0.922
In 0.375 0.297 0.422
In 0.703 0.125 0.078
In 0.875 0.953 0.578
H 0.000 0.000 0.000
H 0.750 0.250 0.500
Ir 0.250 0.750 0.500
Ir 0.500 0.500 0.000

=====

(7)
This record from Alexandria describes a geometry-optimized Lu4Au2N structure. The functional is PBE-GGA.

Calculated values
The formation energy (no corrections) is -6.79 eV/f.u.

Cell lengths 7.939, 7.939, 7.939 Å; angles 146.58, 146.58, 47.99 degrees
Sites, in units of the cell vectors:
Lu 0.000 0.500 0.500
Lu 0.174 0.174 0.000
Lu 0.500 0.000 0.500
Lu 0.826 0.826 0.000
Au 0.367 0.367 0.000
Au 0.633 0.633 0.000
N 0.000 0.000 0.000

=====

(8)
This record from Alexandria describes a geometry-optimized CsNa2InAu structure. The functional is PBE-GGA.

Calculated values
Its energy above the lowest structure with this stoichiometry is 0 meV per atom. The calculation puts the formation energy at -0.141 eV/atom.

Cell lengths 5.918, 5.918, 5.304 Å; angles 90.00, 90.00, 90.00 degrees
Sites, in units of the cell vectors:
Cs 0.000 0.000 0.000
Na 0.000 0.500 0.500
Na 0.500 0.000 0.500
In 0.500 0.500 0.000
Au 0.500 0.500 0.500

=====

(9)
This record from Alexandria describes a geometry-optimized Sc2SeBr structure. The functional is PBE-GGA.

Calculated values
Its energy above the lowest structure with this stoichiometry is 122 meV per atom. The formation energy (no corrections) is -4.46 eV/f.u.

Cell lengths 8.464, 8.464, 8.464 Å; angles 25.94, 25.94, 25.94 degrees
Sites, in units of the cell vectors:
Sc 0.105 0.105 0.105
Sc 0.895 0.895 0.895
Se 0.500 0.500 0.500
Br 0.000 0.000 0.000

=====

(10)
This record from Alexandria describes a geometry-optimized Sm4DyRu2 structure. The functional is PBE-GGA.

Calculated values
The calculation puts the formation energy at -0.159 eV/atom.

Cell lengths 7.916, 6.485, 7.944 Å; angles 90.00, 112.59, 90.00 degrees
Sites, in units of the cell vectors:
Sm 0.022 0.250 0.375
Sm 0.240 0.750 0.321
Sm 0.413 0.002 0.759
Sm 0.413 0.498 0.759
Sm 0.587 0.502 0.241
Sm 0.587 0.998 0.241
Sm 0.760 0.250 0.679
Sm 0.978 0.750 0.625
Dy 0.164 0.250 0.031
Dy 0.836 0.750 0.969
Ru 0.253 0.750 0.983
Ru 0.373 0.250 0.408
Ru 0.627 0.750 0.592
Ru 0.747 0.250 0.017

=====

(11)
This record from Alexandria describes a geometry-optimized Nd8CSe3S3 structure. The functional is PBE-GGA.

Calculated values
The formation energy (no corrections) is -23.88 eV/f.u.

Cell lengths 8.317, 8.317, 8.317 Å; angles 58.94, 58.94, 58.94 degrees
Sites, in units of the cell vectors:
Nd 0.243 0.243 0.243
Nd 0.267 0.723 0.723
Nd 0.277 0.277 0.733
Nd 0.277 0.733 0.277
Nd 0.723 0.267 0.723
Nd 0.723 0.723 0.267
Nd 0.733 0.277 0.277
Nd 0.757 0.757 0.757
C 0.500 0.500 0.500
Se 0.000 0.500 0.500
Se 0.500 0.000 0.500
Se 0.500 0.500 0.000
S 0.000 0.000 0.500
S 0.000 0.500 0.000
S 0.500 0.000 0.000

=====

(12)
This record from Alexandria describes a geometry-optimized LaTh2Al9 structure. The functional is PBE-GGA.

Calculated values
The calculation puts the formation energy at -0.356 eV/atom.

Cell lengths 9.494, 9.494, 9.494 Å; angles 34.97, 34.97, 34.97 degrees
Sites, in units of the cell vectors:
La 0.000 0.000 0.000
Th 0.142 0.142 0.142
Th 0.858 0.858 0.858
Al 0.076 0.587 0.587
Al 0.335 0.335 0.335
Al 0.413 0.413 0.924
Al 0.413 0.924 0.413
Al 0.500 0.500 0.500
Al 0.587 0.076 0.587
Al 0.587 0.587 0.076
Al 0.665 0.665 0.665
Al 0.924 0.413 0.413

=====

(13)
This record from Alexandria describes a geometry-optimized UBSe2 structure. The functional is PBE-GGA.

Calculated values
Its energy above the lowest structure with this stoichiometry is 0 meV per atom. The formation energy (no corrections) is 1.06 eV/f.u.

Cell lengths 5.506, 4.277, 4.277 Å; angles 60.44, 90.00, 90.00 degrees
Sites, in units of the cell vectors:
U 0.000 0.000 0.000
B 0.500 0.999 0.999
Se 0.260 0.665 0.665
Se 0.740 0.665 0.665

=====

(14)
This record from Alexandria describes a geometry-optimized Si2Pt2F structure. The functional is PBE-GGA.

Calculated values
Its energy above the lowest structure with this stoichiometry is 58 meV per atom. The formation energy (no corrections) is -2.66 eV/f.u.

Cell lengths 6.074, 6.074, 6.074 Å; angles 142.30, 142.30, 54.38 degrees
Sites, in units of the cell vectors:
Si 0.250 0.750 0.500
Si 0.750 0.250 0.500
Pt 0.124 0.124 0.000
Pt 0.876 0.876 0.000
F 0.500 0.500 0.000

=====

(15)
This record from Alexandria describes a geometry-optimized Y2SiBr structure. The functional is PBE-GGA.

Calculated values
Its energy above the lowest structure with this stoichiometry is 41 meV per atom. The formation energy (no corrections) is -4.00 eV/f.u.

Cell lengths 7.751, 7.751, 7.751 Å; angles 30.72, 30.72, 30.72 degrees
Sites, in units of the cell vectors:
Y 0.000 0.000 0.000
Y 0.200 0.200 0.200
Si 0.599 0.599 0.599
Br 0.770 0.770 0.770

=====

(16)
This record from Alexandria describes a geometry-optimized LiAcYNi structure. The functional is PBE-GGA.

Calculated values
The calculation puts the formation energy at -0.019 eV/atom.

Cell lengths 5.180, 5.180, 5.180 Å; angles 60.00, 60.00, 60.00 degrees
Sites, in units of the cell vectors:
Li 0.000 0.000 0.000
Ac 0.250 0.250 0.250
Y 0.750 0.750 0.750
Ni 0.500 0.500 0.500

=====

(17)
This record from Alexandria describes a geometry-optimized CsLiMnBr4 structure. The functional is PBE-GGA.

Calculated values
The formation energy (no corrections) is -9.09 eV/f.u.

Cell lengths 6.514, 8.246, 9.969 Å; angles 90.00, 106.14, 90.00 degrees
Sites, in units of the cell vectors:
Cs 0.229 0.250 0.388
Cs 0.771 0.750 0.612
Li 0.173 0.250 0.814
Li 0.827 0.750 0.186
Mn 0.334 0.750 0.191
Mn 0.666 0.250 0.809
Br 0.007 0.750 0.993
Br 0.171 0.750 0.396
Br 0.409 0.017 0.770
Br 0.409 0.483 0.770
Br 0.591 0.517 0.230
Br 0.591 0.983 0.230
Br 0.829 0.250 0.604
Br 0.993 0.250 0.007

=====

(18)
This record from Alexandria describes a geometry-optimized AcTb3Tm3 structure. The functional is PBE-GGA.

Calculated values
The calculation puts the formation energy at 0.130 eV/atom.

Cell lengths 12.932, 12.932, 12.932 Å; angles 117.04, 117.04, 117.04 degrees
Sites, in units of the cell vectors:
Ac 0.000 0.000 0.000
Ac 0.395 0.395 0.581
Ac 0.395 0.581 0.395
Ac 0.581 0.395 0.395
Tb 0.135 0.847 0.847
Tb 0.182 0.182 0.655
Tb 0.182 0.655 0.182
Tb 0.455 0.716 0.982
Tb 0.455 0.982 0.716
Tb 0.655 0.182 0.182
Tb 0.716 0.455 0.982
Tb 0.716 0.982 0.455
Tb 0.847 0.135 0.847
Tb 0.847 0.847 0.135
Tb 0.982 0.455 0.716
Tb 0.982 0.716 0.455
Tm 0.210 0.664 0.664
Tm 0.226 0.428 0.974
Tm 0.226 0.974 0.428
Tm 0.428 0.226 0.974
Tm 0.428 0.974 0.226
Tm 0.664 0.210 0.664
Tm 0.664 0.664 0.210
Tm 0.686 0.948 0.948
Tm 0.948 0.686 0.948
Tm 0.948 0.948 0.686
Tm 0.974 0.226 0.428
Tm 0.974 0.428 0.226

=====

(19)
This record from Alexandria describes a geometry-optimized Ho5Cd2RuPt2 structure. The functional is PBE-GGA.

Calculated values
The calculation puts the formation energy at -0.674 eV/atom.

Cell lengths 11.716, 11.716, 3.514 Å; angles 90.00, 90.00, 90.00 degrees
Sites, in units of the cell vectors:
Ho 0.000 0.500 0.000
Ho 0.071 0.189 0.000
Ho 0.189 0.929 0.000
Ho 0.311 0.429 0.000
Ho 0.429 0.689 0.000
Ho 0.500 0.000 0.000
Ho 0.571 0.311 0.000
Ho 0.689 0.571 0.000
Ho 0.811 0.071 0.000
Ho 0.929 0.811 0.000
Cd 0.176 0.676 0.500
Cd 0.324 0.176 0.500
Cd 0.676 0.824 0.500
Cd 0.824 0.324 0.500
Ru 0.000 0.000 0.500
Ru 0.500 0.500 0.500
Pt 0.135 0.365 0.500
Pt 0.365 0.865 0.500
Pt 0.635 0.135 0.500
Pt 0.865 0.635 0.500

=====

(20)
This record from Alexandria describes a geometry-optimized Li2TlAu2 structure. The functional is PBE-GGA.

Calculated values
Its energy above the lowest structure with this stoichiometry is 107 meV per atom. The calculation puts the formation energy at -0.286 eV/atom.

Cell lengths 6.770, 6.770, 6.770 Å; angles 144.62, 144.62, 50.91 degrees
Sites, in units of the cell vectors:
Li 0.250 0.750 0.500
Li 0.750 0.250 0.500
Tl 0.000 0.000 0.000
Au 0.385 0.385 0.000
Au 0.615 0.615 0.000

=====

(21)
This record from Alexandria describes a geometry-optimized NdCu2Pd4 structure. The functional is PBE-GGA.

Calculated values
Its energy above the lowest structure with this stoichiometry is 577 meV per atom. The calculation puts the formation energy at 0.162 eV/atom.

Cell lengths 6.139, 6.139, 6.139 Å; angles 99.16, 99.16, 132.97 degrees
Sites, in units of the cell vectors:
Nd 0.000 0.000 0.000
Cu 0.250 0.750 0.500
Cu 0.750 0.250 0.500
Pd 0.269 0.500 0.769
Pd 0.500 0.269 0.769
Pd 0.500 0.731 0.231
Pd 0.731 0.500 0.231

=====

(22)
This record from Alexandria describes a geometry-optimized RbHfTe2 structure. The functional is PBE-GGA.

Calculated values
The formation energy (no corrections) is -3.40 eV/f.u.

Cell lengths 9.124, 9.124, 9.124 Å; angles 26.31, 26.31, 26.31 degrees
Sites, in units of the cell vectors:
Rb 0.000 0.000 0.000
Hf 0.168 0.168 0.168
Te 0.566 0.566 0.566
Te 0.771 0.771 0.771

=====

Sequential V output: 105; 687; 616; 154; 69; 161; 151; 186; 102; 377; 397; 251; 88; 83; 108; 98; 514; 948; 482; 104; 155; 131 Å³ per cell
Sequential density output: 7.10; 5.51; 7.69; 10.07; 7.80; 8.71; 12.17; 4.39; 4.04; 8.52; 6.27; 5.59; 7.71; 9.29; 4.41; 6.45; 3.32; 8.48; 10.61; 9.82; 7.46; 6.56 g/cm3